# YCdSe2Br (GGA-PBE, optimized geometry)
data_YCdSe2Br
_chemical_formula_sum 'Y1 Cd1 Se2 Br1'
_symmetry_space_group_name_H-M 'P 4/m m m'
_symmetry_Int_Tables_number 123
_symmetry_space_group_name_Hall '-P 4 2'
_cell_length_a 5.285
_cell_length_b 5.285
_cell_length_c 5.152
_cell_angle_alpha 90.00
_cell_angle_beta 90.00
_cell_angle_gamma 90.00
loop_
_atom_site_label
_atom_site_type_symbol
_atom_site_fract_x
_atom_site_fract_y
_atom_site_fract_z
Y1 Y 0.000 0.000 0.000
Cd1 Cd 0.500 0.500 0.500
Se1 Se 0.000 0.500 0.500
Br1 Br 0.500 0.500 0.000
# Total magnetic moment in μB/f.u.: 0.00
# Formation energy without anion corrections in eV/atom: -0.42
# Energy relative to the lowest polymorph listed for this composition in eV/atom: 0.294